A plane-wave DFT calculation with PBE-GGA was carried out for an optimized crystal structure of KBi2Pb.

a = 4.5068 Å, b = 4.5068 Å, c = 10.5996 Å
α = 108.10°, β = 108.10°, γ = 46.21°
Closest atoms and distances in Å follow each position.
Element x y z (fractional)
K 0.0000 0.0000 0.0000  2 K 3.54, 6 Bi 3.65-3.75
Bi 0.1642 0.1642 0.7205  3 Pb 3.22-3.34, 2 Bi 3.54
Bi 0.4071 0.4071 0.2786  3 Pb 3.22-3.35, 2 Bi 3.54
Pb 0.7856 0.7856 0.5001  6 Bi 3.22-3.35, 2 Pb 3.54

energy of formation: -0.041 eV/atom
calculated total energy: -3.183 eV/atom
SG: Cm, No. 8